a.
DFT (GGA-PBE) results for a relaxed TmThH crystal.

Calculated values
Spin magnetization ... 0.000 μB per atom
Space-group type ... P3m1

Cell lengths 3.5633, 3.5633, 5.8051 Å; angles 90.00, 90.00, 120.00 degrees
Fractional positions:
H1 0.3333 0.6667 0.6530
Th1 0.0000 0.0000 0.9234
Tm1 0.6667 0.3333 0.4236


b.
DFT (GGA-PBE) results for a relaxed TmThH crystal.

Calculated values
Spin magnetization ... 0.000 μB per atom
Space-group type ... P2_1/m

Cell lengths 5.2667, 7.0419, 8.6502 Å; angles 127.38, 90.00, 90.00 degrees
Fractional positions:
Tm1 0.2499 0.6524 0.7835
Tm2 0.7501 0.3476 0.2165
Tm3 0.2501 0.1524 0.2835
Tm4 0.7499 0.8476 0.7165
H1 0.2500 0.2359 0.5890
H2 0.2500 0.7359 0.0890
H3 0.7500 0.7641 0.4110
H4 0.7500 0.2641 0.9110
Th1 0.7500 0.7362 0.0890
Th2 0.2500 0.2638 0.9110
Th3 0.2500 0.7638 0.4110
Th4 0.7500 0.2362 0.5890


c.
DFT (GGA-PBE) results for a relaxed TmThH crystal.

Calculated values
Spin magnetization ... 0.000 μB per atom
Space-group type ... I4mm

Cell lengths 3.4585, 3.4585, 6.4383 Å; angles 105.58, 105.58, 90.00 degrees
Fractional positions:
H1 0.2216 0.2216 0.4433
Tm1 0.0353 0.0353 0.0705
Th1 0.7431 0.7431 0.4862


Relative energies in eV/atom: a 0.000; b 0.008; c 0.144


a.
DFT (GGA-PBE) results for a relaxed YThH crystal.

Calculated values
Spin magnetization ... 0.000 μB per atom
Space-group type ... P3m1

Cell lengths 3.5941, 3.5941, 5.8846 Å; angles 90.00, 90.00, 120.00 degrees
Fractional positions:
Th1 0.6667 0.3333 0.4114
Y1 0.0000 0.0000 0.9105
H1 0.3333 0.6667 0.6782


b.
DFT (GGA-PBE) results for a relaxed YThH crystal.

Calculated values
Spin magnetization ... 0.000 μB per atom
Space-group type ... I4mm

Cell lengths 3.3863, 3.3863, 6.6702 Å; angles 104.70, 104.70, 90.00 degrees
Fractional positions:
H1 0.2217 0.2217 0.4435
Y1 0.7420 0.7420 0.4841
Th1 0.0362 0.0362 0.0724


c.
DFT (GGA-PBE) results for a relaxed YThH crystal.

Calculated values
Spin magnetization ... 0.000 μB per atom
Space-group type ... C2/m

Cell lengths 3.4730, 3.6344, 12.3702 Å; angles 104.76, 90.00, 118.54 degrees
Fractional positions:
Y1 0.0895 0.1790 0.3734
Y2 0.9105 0.8210 0.6266
H1 0.7207 0.4414 0.2811
H2 0.2793 0.5586 0.7189
Th1 0.2002 0.4005 0.1222
Th2 0.7998 0.5995 0.8778


Relative energies in eV/atom: a 0.006; b 0.135; c 0.000


a.
DFT (GGA-PBE) results for a relaxed YTh2H crystal.

Calculated values
Spin magnetization ... 0.000 μB per atom
Space-group type ... R-3m

Cell lengths 3.4481, 3.4481, 9.9979 Å; angles 80.07, 80.07, 60.00 degrees
Fractional positions:
Th1 0.1128 0.1128 0.6616
Th2 0.8872 0.8872 0.3384
H1 0.5000 0.5000 0.5000
Y1 0.0000 0.0000 0.0000


b.
DFT (GGA-PBE) results for a relaxed YTh2H crystal.

Calculated values
Spin magnetization ... 0.000 μB per atom
Space-group type ... P4/mmm

Cell lengths 3.3958, 3.3958, 8.6725 Å; angles 90.00, 90.00, 90.00 degrees
Fractional positions:
Y1 0.5000 0.5000 0.5000
H1 0.5000 0.5000 0.0000
Th1 0.0000 0.0000 0.1814
Th2 0.0000 0.0000 0.8186


Relative energies in eV/atom: a 0.000; b 0.100


a.
DFT (GGA-PBE) results for a relaxed ThZrH2 crystal.

Calculated values
Spin magnetization ... 0.000 μB per atom
Space-group type ... Pmn2_1

Cell lengths 3.5361, 3.9479, 8.6210 Å; angles 90.00, 90.00, 90.00 degrees
Fractional positions:
H1 0.7010 0.3912 0.7531
H2 0.2010 0.8912 0.4628
H3 0.7009 0.6705 0.2168
H4 0.2009 0.1705 0.9992
Zr1 0.2009 0.9457 0.2147
Zr2 0.7009 0.4456 0.0013
Th1 0.7011 0.4260 0.4642
Th2 0.2011 0.9260 0.7517


b.
DFT (GGA-PBE) results for a relaxed ThZrH2 crystal.

Calculated values
Spin magnetization ... 0.000 μB per atom
Space-group type ... R-3m

Cell lengths 3.3026, 3.3026, 6.4211 Å; angles 75.10, 75.10, 60.00 degrees
Fractional positions:
Th1 0.5000 0.5000 0.5000
Zr1 0.0000 0.0000 0.0000
H1 0.7241 0.7241 0.8278
H2 0.2759 0.2759 0.1722


Relative energies in eV/atom: a 0.000; b 0.029


a.
DFT (GGA-PBE) results for a relaxed ThZr2H crystal.

Calculated values
Spin magnetization ... 0.000 μB per atom
Space-group type ... P4/mmm

Cell lengths 3.1319, 3.1319, 8.1521 Å; angles 90.00, 90.00, 90.00 degrees
Fractional positions:
Zr1 0.0000 0.0000 0.1784
Zr2 0.0000 0.0000 0.8216
H1 0.5000 0.5000 0.0000
Th1 0.5000 0.5000 0.5000


b.
DFT (GGA-PBE) results for a relaxed ThZr2H crystal.

Calculated values
Spin magnetization ... 0.000 μB per atom
Space-group type ... R-3m

Cell lengths 3.2372, 3.2372, 9.0316 Å; angles 79.68, 79.68, 60.00 degrees
Fractional positions:
H1 0.5000 0.5000 0.5000
Th1 0.0000 0.0000 0.0000
Zr1 0.8834 0.8834 0.3498
Zr2 0.1166 0.1166 0.6502


Relative energies in eV/atom: a 0.199; b 0.000


a.
DFT (GGA-PBE) results for a relaxed ThZrH crystal.

Calculated values
Spin magnetization ... 0.000 μB per atom
Space-group type ... P3m1

Cell lengths 3.3765, 3.3765, 5.7652 Å; angles 90.00, 90.00, 120.00 degrees
Fractional positions:
H1 0.3333 0.6667 0.6204
Zr1 0.6667 0.3333 0.4354
Th1 0.0000 0.0000 0.9442


b.
DFT (GGA-PBE) results for a relaxed ThZrH crystal.

Calculated values
Spin magnetization ... 0.000 μB per atom
Space-group type ... C2/m

Cell lengths 3.2463, 5.7243, 6.4731 Å; angles 86.92, 104.52, 90.00 degrees
Fractional positions:
Th1 0.9282 0.7580 0.8563
Th2 0.0718 0.2420 0.1437
Zr1 0.8030 0.2737 0.6059
Zr2 0.1970 0.7263 0.3941
H1 0.5897 0.8942 0.1793
H2 0.4103 0.1058 0.8207


Relative energies in eV/atom: a 0.000; b 0.164


a.
DFT (GGA-PBE) results for a relaxed Ti3H crystal.

Calculated values
Spin magnetization ... 0.000 μB per atom
Space-group type ... I-4

Cell lengths 4.9762, 7.1240, 7.1240 Å; angles 82.99, 69.56, 69.56 degrees
Fractional positions:
Ti1 0.6316 0.0618 0.3976
Ti2 0.7981 0.8130 0.0256
Ti3 0.0895 0.3113 0.4543
Ti4 0.4562 0.4543 0.6887
Ti5 0.5992 0.5457 0.3113
Ti6 0.3889 0.9744 0.8130
Ti7 0.9707 0.3976 0.9382
Ti8 0.0911 0.9382 0.6024
Ti9 0.1762 0.0256 0.1870
Ti10 0.3065 0.6024 0.0618
Ti11 0.6368 0.1870 0.9744
Ti12 0.8552 0.6887 0.5457
H1 0.1943 0.5435 0.3321
H2 0.4736 0.3321 0.4565
H3 0.0699 0.4565 0.6679
H4 0.2621 0.6679 0.5435


b.
DFT (GGA-PBE) results for a relaxed Ti3H crystal.

Calculated values
Spin magnetization ... 0.001 μB per atom
Space-group type ... Imm2

Cell lengths 2.7392, 4.7306, 4.9369 Å; angles 118.63, 106.11, 90.00 degrees
Fractional positions:
Ti1 0.6796 0.0545 0.3592
Ti2 0.3204 0.6953 0.6408
Ti3 0.5000 0.3724 0.0000
H1 0.0000 0.0444 0.0000


Relative energies in eV/atom: a 0.049; b 0.000


a.
DFT (GGA-PBE) results for a relaxed Ti5H6 crystal.

Calculated values
Spin magnetization ... 0.000 μB per atom
Space-group type ... C2/m

Cell lengths 5.0423, 5.0190, 5.0095 Å; angles 79.99, 69.76, 59.85 degrees
Fractional positions:
H1 0.4325 0.6528 0.7437
H2 0.2617 0.0000 0.2631
H3 0.0854 0.3472 0.7437
H4 0.9146 0.6528 0.2563
H5 0.7383 0.0000 0.7369
H6 0.5675 0.3472 0.2563
Ti1 0.8326 0.3347 0.5000
Ti2 0.6664 0.6673 0.0000
Ti3 0.1674 0.6653 0.5000
Ti4 0.5000 0.0000 0.5000
Ti5 0.3336 0.3327 0.0000


b.
DFT (GGA-PBE) results for a relaxed Ti5H6 crystal.

Calculated values
Spin magnetization ... 0.000 μB per atom
Space-group type ... C2/m

Cell lengths 2.9605, 4.5186, 8.9245 Å; angles 104.67, 118.31, 89.98 degrees
Fractional positions:
H1 0.5001 0.2496 0.0000
H2 0.0991 0.4420 0.3970
H3 0.4999 0.7504 0.0000
H4 0.9009 0.5580 0.6030
H5 0.9010 0.0450 0.6030
H6 0.0990 0.9550 0.3970
Ti1 0.0000 0.5000 0.0000
Ti2 0.5885 0.6948 0.3896
Ti3 0.4115 0.3052 0.6104
Ti4 0.7998 0.0985 0.1969
Ti5 0.2002 0.9015 0.8031


Relative energies in eV/atom: a 0.152; b 0.000


a.
DFT (GGA-PBE) results for a relaxed Ti3H4 crystal.

Calculated values
Spin magnetization ... 0.000 μB per atom
Space-group type ... Fd-3m

Cell lengths 5.5954, 5.5954, 5.5954 Å; angles 60.00, 60.00, 60.00 degrees
Fractional positions:
Ti1 0.5000 0.5000 0.0000
Ti2 0.8750 0.8750 0.8750
Ti3 0.0000 0.5000 0.5000
Ti4 0.5000 0.5000 0.5000
Ti5 0.1250 0.1250 0.1250
Ti6 0.5000 0.0000 0.5000
H1 0.2624 0.2624 0.2624
H2 0.2624 0.7127 0.2624
H3 0.2624 0.2624 0.7127
H4 0.7376 0.7376 0.7376
H5 0.7376 0.2873 0.7376
H6 0.7127 0.2624 0.2624
H7 0.2873 0.7376 0.7376
H8 0.7376 0.7376 0.2873


b.
DFT (GGA-PBE) results for a relaxed Ti3H4 crystal.

Calculated values
Spin magnetization ... 0.000 μB per atom
Space-group type ... Fmmm

Cell lengths 2.7342, 2.7342, 7.9249 Å; angles 100.15, 100.15, 88.75 degrees
Fractional positions:
Ti1 0.6716 0.6716 0.3433
Ti2 0.3284 0.3284 0.6567
Ti3 0.0000 0.0000 0.0000
H1 0.5520 0.5520 0.1040
H2 0.4480 0.4480 0.8960
H3 0.8592 0.8592 0.7184
H4 0.1408 0.1408 0.2816


Relative energies in eV/atom: a 0.000; b 0.131


a.
DFT (GGA-PBE) results for a relaxed Ti4H5 crystal.

Calculated values
Spin magnetization ... 0.000 μB per atom
Space-group type ... P-42m

Cell lengths 4.2203, 4.2203, 4.5400 Å; angles 90.00, 90.00, 90.00 degrees
Fractional positions:
H1 0.5000 0.0000 0.5000
H2 0.0000 0.5000 0.0000
H3 0.0000 0.5000 0.5000
H4 0.5000 0.0000 0.0000
H5 0.0000 0.0000 0.0000
Ti1 0.7429 0.2571 0.2538
Ti2 0.2571 0.2571 0.7462
Ti3 0.7429 0.7429 0.7462
Ti4 0.2571 0.7429 0.2538


b.
DFT (GGA-PBE) results for a relaxed Ti4H5 crystal.

Calculated values
Spin magnetization ... 0.000 μB per atom
Space-group type ... C2/m

Cell lengths 2.8017, 6.1876, 6.1876 Å; angles 52.27, 72.04, 72.04 degrees
Fractional positions:
H1 0.0000 0.0101 0.9899
H2 0.0000 0.3232 0.6768
H3 0.0000 0.6667 0.3333
H4 0.7918 0.8849 0.5516
H5 0.2082 0.4484 0.1151
Ti1 0.4348 0.0373 0.2191
Ti2 0.5652 0.7809 0.9627
Ti3 0.4348 0.5525 0.7040
Ti4 0.5652 0.2960 0.4475


Relative energies in eV/atom: a 0.000; b 0.462


a.
DFT (GGA-PBE) results for a relaxed Ti2H3 crystal.

Calculated values
Spin magnetization ... 0.000 μB per atom
Space-group type ... P4_2/mcm

Cell lengths 4.3359, 4.3359, 4.3842 Å; angles 90.00, 90.00, 90.00 degrees
Fractional positions:
Ti1 0.7382 0.2618 0.0000
Ti2 0.7382 0.7382 0.5000
Ti3 0.2618 0.2618 0.5000
Ti4 0.2618 0.7382 0.0000
H1 0.0000 0.5000 0.2500
H2 0.5000 0.0000 0.7500
H3 0.0000 0.5000 0.7500
H4 0.5000 0.0000 0.2500
H5 0.0000 0.0000 0.2500
H6 0.0000 0.0000 0.7500


b.
DFT (GGA-PBE) results for a relaxed Ti2H3 crystal.

Calculated values
Spin magnetization ... 0.000 μB per atom
Space-group type ... R-3c

Cell lengths 4.9091, 4.9080, 4.7549 Å; angles 59.00, 58.92, 59.99 degrees
Fractional positions:
H1 0.2502 0.5188 0.7508
H2 0.9807 0.2500 0.7500
H3 0.5197 0.9812 0.7492
H4 0.4803 0.0188 0.2508
H5 0.0193 0.7500 0.2500
H6 0.7498 0.4812 0.2492
Ti1 0.3715 0.3717 0.3852
Ti2 0.6285 0.6283 0.6148
Ti3 0.8716 0.8717 0.8852
Ti4 0.1284 0.1283 0.1148


Relative energies in eV/atom: a 0.000; b 0.031


a.
DFT (GGA-PBE) results for a relaxed TiTlH3 crystal.

Calculated values
Spin magnetization ... 0.000 μB per atom
Space-group type ... Pm-3m

Cell lengths 3.7706, 3.7706, 3.7706 Å; angles 90.00, 90.00, 90.00 degrees
Fractional positions:
Tl1 0.5000 0.5000 0.5000
Ti1 0.0000 0.0000 0.0000
H1 0.0000 0.0000 0.5000
H2 0.5000 0.0000 0.0000
H3 0.0000 0.5000 0.0000


b.
DFT (GGA-PBE) results for a relaxed TiTlH3 crystal.

Calculated values
Spin magnetization ... 0.000 μB per atom
Space-group type ... Pm-3m

Cell lengths 3.8948, 3.8948, 3.8948 Å; angles 90.00, 90.00, 90.00 degrees
Fractional positions:
H1 0.0000 0.5000 0.0000
H2 0.5000 0.0000 0.0000
H3 0.0000 0.0000 0.5000
Tl1 0.0000 0.0000 0.0000
Ti1 0.5000 0.5000 0.5000


Relative energies in eV/atom: a 0.000; b 0.913